(1)
# MgZrTlZn

A geometry-optimized MgZrTlZn structure (PBE-GGA, Alexandria via LeMat-Bulk).

abc: 4.1915 4.3856 4.4272
angles: 90.00 90.00 90.00
Element x y z (fractional)
Mg  0.0000  0.0000  0.0000
Zr  0.0000  0.5000  0.5000
Tl  0.5000  0.5000  0.0000
Zn  0.5000  0.0000  0.5000

As for the formation energy: -3.3 kcal/mol of atoms. For the relative energy among the computed polymorphs, the calculation gives 0.000 eV/atom. As for the total energy: -3.59 eV per atom. For the total magnetization, the calculation gives 0.000 μB/atom.

(2)
# MgZr6Tl3

A geometry-optimized MgZr6Tl3 structure (PBE-GGA, Alexandria via LeMat-Bulk).

abc: 8.8536 8.8536 7.2302
angles: 90.00 90.00 119.97
Element x y z (fractional)
Mg  0.1639  0.8361  0.5000
Mg  0.8361  0.1639  0.0000
Zr  0.0278  0.5811  0.1732
Zr  0.0489  0.9511  0.1618
Zr  0.2356  0.3832  0.9375
Zr  0.2675  0.7325  0.8542
Zr  0.3832  0.2356  0.4375
Zr  0.4189  0.9722  0.1732
Zr  0.5811  0.0278  0.6732
Zr  0.6168  0.7644  0.9375
Zr  0.7325  0.2675  0.3542
Zr  0.7644  0.6168  0.4375
Zr  0.9511  0.0489  0.6618
Zr  0.9722  0.4189  0.6732
Tl  0.0917  0.2948  0.3260
Tl  0.2948  0.0917  0.8260
Tl  0.4080  0.5920  0.5556
Tl  0.5920  0.4080  0.0556
Tl  0.7052  0.9083  0.3260
Tl  0.9083  0.7052  0.8260

As for the formation energy: 2.9 kcal/mol of atoms. As for the total energy: -5.87 eV per atom. For the total magnetization, the calculation gives 0.000 μB/atom.

(3)
# MgZr2Tl

A geometry-optimized MgZr2Tl structure (PBE-GGA, Alexandria via LeMat-Bulk).

abc: 3.1880 3.1880 8.9328
angles: 90.00 90.00 90.00
Element x y z (fractional)
Mg  0.0000  0.0000  0.0000
Zr  0.5000  0.5000  0.2531
Zr  0.5000  0.5000  0.7469
Tl  0.0000  0.0000  0.5000

As for the formation energy: 0.4 kcal/mol of atoms. As for the total energy: -5.25 eV per atom. For the total magnetization, the calculation gives 0.000 μB/atom.

(4)
# MgZr5Tl4

A geometry-optimized MgZr5Tl4 structure (PBE-GGA, Alexandria via LeMat-Bulk).

abc: 3.8108 3.8108 15.6996
angles: 90.00 90.00 90.00
Element x y z (fractional)
Mg  0.0000  0.0000  0.0000
Zr  0.5000  0.5000  0.1004
Zr  0.5000  0.5000  0.2979
Zr  0.5000  0.5000  0.5000
Zr  0.5000  0.5000  0.7021
Zr  0.5000  0.5000  0.8996
Tl  0.0000  0.0000  0.1951
Tl  0.0000  0.0000  0.3982
Tl  0.0000  0.0000  0.6018
Tl  0.0000  0.0000  0.8049

As for the formation energy: 0.3 kcal/mol of atoms. As for the total energy: -5.37 eV per atom. For the total magnetization, the calculation gives 0.000 μB/atom.

(5)
# MgZrTl

A geometry-optimized MgZrTl structure (PBE-GGA, Alexandria via LeMat-Bulk).

abc: 5.6946 5.6946 6.6677
angles: 113.59 113.59 44.72
Element x y z (fractional)
Mg  0.1644  0.1644  0.0820
Mg  0.8356  0.8356  0.9180
Zr  0.1678  0.1678  0.5742
Zr  0.8322  0.8322  0.4258
Tl  0.4901  0.4901  0.2462
Tl  0.5099  0.5099  0.7538

As for the formation energy: 0.6 kcal/mol of atoms. As for the total energy: -4.14 eV per atom. For the total magnetization, the calculation gives 0.000 μB/atom.

(6)
# MgZr2Tl

A geometry-optimized MgZr2Tl structure (PBE-GGA, Alexandria via LeMat-Bulk).

abc: 10.3684 10.3684 10.3684
angles: 18.35 18.35 18.35
Element x y z (fractional)
Mg  0.0000  0.0000  0.0000
Zr  0.2471  0.2471  0.2471
Zr  0.5015  0.5015  0.5015
Tl  0.7487  0.7487  0.7487

As for the formation energy: 0.5 kcal/mol of atoms. As for the total energy: -5.24 eV per atom. For the total magnetization, the calculation gives 0.000 μB/atom.

(7)
# MgZr6Tl5

A geometry-optimized MgZr6Tl5 structure (PBE-GGA, Alexandria via LeMat-Bulk).

abc: 8.4085 8.4085 4.5098
angles: 105.46 105.46 63.98
Element x y z (fractional)
Mg  0.0000  0.0000  0.0000
Zr  0.0873  0.5780  0.8329
Zr  0.2603  0.7397  0.5000
Zr  0.4220  0.9127  0.1671
Zr  0.5780  0.0873  0.8329
Zr  0.7397  0.2603  0.5000
Zr  0.9127  0.4220  0.1671
Tl  0.1530  0.1530  0.6530
Tl  0.3264  0.3264  0.3267
Tl  0.5000  0.5000  0.0000
Tl  0.6736  0.6736  0.6733
Tl  0.8470  0.8470  0.3470

As for the formation energy: -1.8 kcal/mol of atoms. As for the total energy: -5.47 eV per atom. For the total magnetization, the calculation gives 0.000 μB/atom.

(8)
# MgZr2Tl

A geometry-optimized MgZr2Tl structure (PBE-GGA, Alexandria via LeMat-Bulk).

abc: 5.6988 5.6988 5.3536
angles: 100.35 100.35 32.44
Element x y z (fractional)
Mg  0.0000  0.0000  0.0000
Zr  0.2459  0.2459  0.7491
Zr  0.7541  0.7541  0.2509
Tl  0.5000  0.5000  0.5000

As for the formation energy: 0.4 kcal/mol of atoms. As for the total energy: -5.25 eV per atom. For the total magnetization, the calculation gives 0.000 μB/atom.

(9)
# MgZrTl

A geometry-optimized MgZrTl structure (PBE-GGA, Alexandria via LeMat-Bulk).

abc: 7.9777 7.9777 5.5923
angles: 104.95 104.95 24.55
Element x y z (fractional)
Mg  0.1708  0.1708  0.4864
Mg  0.8292  0.8292  0.5136
Zr  0.3322  0.3322  0.0255
Zr  0.6678  0.6678  0.9745
Tl  0.0000  0.0000  0.0000
Tl  0.5000  0.5000  0.5000

As for the formation energy: 0.3 kcal/mol of atoms. As for the total energy: -4.16 eV per atom. For the total magnetization, the calculation gives 0.000 μB/atom.

(10)
# MgZr2Tl

A geometry-optimized MgZr2Tl structure (PBE-GGA, Alexandria via LeMat-Bulk).

abc: 10.8371 10.8371 10.8371
angles: 16.87 16.87 16.87
Element x y z (fractional)
Mg  0.0000  0.0000  0.0000
Zr  0.2494  0.2494  0.2494
Zr  0.7506  0.7506  0.7506
Tl  0.5000  0.5000  0.5000

As for the formation energy: 1.6 kcal/mol of atoms. As for the total energy: -5.20 eV per atom. For the total magnetization, the calculation gives 0.000 μB/atom.

(11)
# MgZrTl

A geometry-optimized MgZrTl structure (PBE-GGA, Alexandria via LeMat-Bulk).

abc: 6.1819 6.1819 7.8575
angles: 108.74 108.74 30.04
Element x y z (fractional)
Mg  0.0000  0.0000  0.0000
Mg  0.6756  0.6756  0.3398
Zr  0.2632  0.2632  0.0482
Zr  0.6054  0.6054  0.7257
Tl  0.3308  0.3308  0.6932
Tl  0.9476  0.9476  0.3724

As for the formation energy: -0.1 kcal/mol of atoms. As for the total energy: -4.17 eV per atom. For the total magnetization, the calculation gives 0.000 μB/atom.

(12)
# MgZr2Tl

A geometry-optimized MgZr2Tl structure (PBE-GGA, Alexandria via LeMat-Bulk).

abc: 5.0844 5.0844 5.0844
angles: 60.00 60.00 60.00
Element x y z (fractional)
Mg  0.0000  0.0000  0.0000
Zr  0.5000  0.5000  0.5000
Zr  0.7500  0.7500  0.7500
Tl  0.2500  0.2500  0.2500

As for the formation energy: 6.0 kcal/mol of atoms. As for the total energy: -5.00 eV per atom. For the total magnetization, the calculation gives 0.681 μB/atom.